(1)
Density functional theory data (PBE) for a geometry-optimized SrIr2Au structure.

It has space group Pmmm (No. 47), with a = 3.004 Å, b = 4.974 Å, c = 4.993 Å, α = 90.00°, β = 90.00° and γ = 90.00°. The distinct sites, in fractional coordinates, are Sr at (0.000, 0.000, 0.000), Ir at (0.000, 0.500, 0.500), Ir at (0.500, 0.500, 0.000) and Au at (0.500, 0.000, 0.500).

The formation energy comes out at 0.303 eV per atom. Its density of states at the Fermi level is 1.10 states/eV per atom. The calculation puts the total energy at -5.3673 eV per atom.

(2)
Density functional theory data (PBE) for a geometry-optimized Sr3IrAu structure.

It has space group Pm-3m (No. 221), with a = 5.720 Å, b = 5.720 Å, c = 5.720 Å, α = 90.00°, β = 90.00° and γ = 90.00°. The distinct sites, in fractional coordinates, are Sr at (0.000, 0.000, 0.500), Ir at (0.000, 0.000, 0.000) and Au at (0.500, 0.500, 0.500).

The formation energy comes out at -0.153 eV per atom. Its density of states at the Fermi level is 0.63 states/eV per atom. The calculation puts the total energy at -3.5898 eV per atom.

Number 1 is which compound? SrIr2Au

Repeat the first record exactly.
Density functional theory data (PBE) for a geometry-optimized SrIr2Au structure.

It has space group Pmmm (No. 47), with a = 3.004 Å, b = 4.974 Å, c = 4.993 Å, α = 90.00°, β = 90.00° and γ = 90.00°. The distinct sites, in fractional coordinates, are Sr at (0.000, 0.000, 0.000), Ir at (0.000, 0.500, 0.500), Ir at (0.500, 0.500, 0.000) and Au at (0.500, 0.000, 0.500).

The formation energy comes out at 0.303 eV per atom. Its density of states at the Fermi level is 1.10 states/eV per atom. The calculation puts the total energy at -5.3673 eV per atom.

What is the formula in the first record? SrIr2Au